{"formula": "Tl3CdSn3", "functional": "GGA-PBE", "state": "relaxed", "final_energy_ev_per_atom": -2.824, "e_above_lowest_polymorph_ev_per_fu": 0.00, "lattice": [[4.526, 2.613, 5.687], [-4.526, 2.613, 5.687], [0.000, -5.226, 5.687]], "species": ["Tl", "Tl", "Tl", "Tl", "Tl", "Tl", "Cd", "Cd", "Sn", "Sn", "Sn", "Sn", "Sn", "Sn"], "frac_coords": [[0.172, 0.458, 0.610], [0.390, 0.828, 0.542], [0.458, 0.610, 0.172], [0.542, 0.390, 0.828], [0.610, 0.172, 0.458], [0.828, 0.542, 0.390], [0.242, 0.242, 0.242], [0.758, 0.758, 0.758], [0.034, 0.904, 0.310], [0.096, 0.690, 0.966], [0.310, 0.034, 0.904], [0.690, 0.966, 0.096], [0.904, 0.310, 0.034], [0.966, 0.096, 0.690]]}